(1)
The following is a DFT calculation (PBE) of a relaxed Hf2InRe2 crystal.

The space group is P4/mbm (No. 127) and the conventional cell measures 7.4719, 7.4719 and 3.4675 Å, with angles of 90.00, 90.00 and 90.00 degrees. Symmetry generates all atoms from Hf at (0.1586, 0.3414, 0.0000), In at (0.0000, 0.0000, 0.5000) and Re at (0.1385, 0.6385, 0.5000).

The formation energy from the elements is 0.144 eV/atom. The total energy is -93.64 eV per cell. The calculated density comes out at 14483 kg/m³.

***

(2)
The following is a DFT calculation (PBE) of a relaxed MgScPt2 crystal.

The space group is I-42d (No. 122) and the conventional cell measures 7.1482, 7.1482 and 5.8016 Å, with angles of 90.00, 90.00 and 90.00 degrees. Symmetry generates all atoms from Mg at (0.0000, 0.0000, 0.0000), Sc at (0.0000, 0.0000, 0.5000) and Pt at (0.2482, 0.2500, 0.6250).

The formation energy from the elements is -0.667 eV/atom. The total energy is -90.71 eV per cell. The calculated density comes out at 10294 kg/m³.

***

(3)
The following is a DFT calculation (PBE) of a relaxed CuNi2N crystal.

The space group is R-3m (No. 166, hexagonal axes) and the conventional cell measures 2.6696, 2.6696 and 21.4258 Å, with angles of 90.00, 90.00 and 120.00 degrees. Symmetry generates all atoms from Cu at (0.0000, 0.0000, 0.0000), Ni at (0.0000, 0.0000, 0.1128) and N at (0.0000, 0.0000, 0.5000).

The total energy is -66.72 eV per cell. For the formation energy from raw total energies, the calculation gives 436 meV per atom. The calculated density comes out at 7344 kg/m³.

***

Q: calculated density of number 3 (CuNi2N)?
A: 7344 kg/m³